Run A
{"formula": "V4OsW", "functional": "GGA-PBE", "state": "relaxed", "m_tot_mub_per_fu": 0.0, "lattice_angstrom": [[-3.971, -1.155, 0.037], [0.016, -0.187, -4.132], [1.658, -5.698, 0.262]], "species": ["V", "V", "V", "V", "Os", "W"], "fractional_positions": [[0.501, 0.997, 0.252], [0.501, 0.998, 0.745], [0.001, 0.497, 0.745], [0.001, 0.497, 0.252], [0.001, 0.997, 0.498], [0.501, 0.497, 0.998]]}

Run B
{"formula": "V4OsW", "functional": "GGA-PBE", "state": "relaxed", "m_tot_mub_per_fu": 0.0, "lattice_angstrom": [[4.900, 0.000, 0.000], [2.450, 4.244, 0.000], [2.450, 1.415, 4.001]], "species": ["Os", "W", "V", "V", "V", "V"], "fractional_positions": [[0.000, 0.000, 0.000], [0.250, 0.250, 0.250], [0.625, 0.625, 0.125], [0.625, 0.125, 0.625], [0.625, 0.625, 0.625], [0.125, 0.625, 0.625]]}

Run C
{"formula": "V4OsW", "functional": "GGA-PBE", "state": "relaxed", "m_tot_mub_per_fu": 0.0, "lattice_angstrom": [[-1.218, -3.046, 2.759], [4.034, -0.363, 1.380], [1.224, 2.992, 3.843]], "species": ["V", "V", "V", "V", "Os", "W"], "fractional_positions": [[0.000, 0.333, 0.335], [0.500, 0.168, 0.664], [0.000, 0.667, 0.665], [0.500, 0.832, 0.336], [0.000, 0.000, 0.000], [0.500, 0.500, 0.000]]}

Relative to the most stable structure, the computed energies are run A 80.1; run B 25.9; run C 0.0, all in kJ/mol of atoms.

Run A
{"formula": "V2Os2W", "functional": "GGA-PBE", "state": "relaxed", "m_tot_mub_per_fu": 0.0, "lattice_angstrom": [[-0.775, 3.805, 0.197], [-3.520, -0.638, -1.522], [-4.149, 0.922, 4.244]], "species": ["Os", "Os", "W", "V", "V"], "fractional_positions": [[0.387, 0.387, 0.226], [0.613, 0.613, 0.774], [0.000, 0.000, 0.000], [0.750, 0.250, 0.500], [0.250, 0.750, 0.500]]}

Run B
{"formula": "V2Os2W", "functional": "GGA-PBE", "state": "relaxed", "m_tot_mub_per_fu": 0.0, "lattice_angstrom": [[-2.989, -3.707, 5.448], [5.950, -4.089, 0.482], [1.107, 1.830, 1.853]], "species": ["Os", "Os", "Os", "Os", "W", "W", "V", "V", "V", "V"], "fractional_positions": [[0.363, 0.863, 0.000], [0.863, 0.637, 0.000], [0.637, 0.137, 0.000], [0.137, 0.363, 0.000], [0.000, 0.000, 0.000], [0.500, 0.500, 0.000], [0.162, 0.662, 0.500], [0.662, 0.838, 0.500], [0.838, 0.338, 0.500], [0.338, 0.162, 0.500]]}

Relative to the most stable structure, the computed energies are run A 38.7; run B 0.0, all in kJ/mol of atoms.

Run A
{"formula": "YV2Os", "functional": "GGA-PBE", "state": "relaxed", "m_tot_mub_per_fu": 0.6, "lattice_angstrom": [[-2.956, 2.937, -0.664], [-4.029, -1.141, -0.523], [-3.084, 0.971, 4.616]], "species": ["Y", "Os", "V", "V"], "fractional_positions": [[0.500, 0.500, 0.500], [0.000, 0.000, 0.000], [0.300, 0.300, 0.101], [0.700, 0.700, 0.899]]}

Run B
{"formula": "YV2Os", "functional": "GGA-PBE", "state": "relaxed", "m_tot_mub_per_fu": 0.6, "lattice_angstrom": [[-3.803, -3.619, -5.168], [-0.130, -5.988, 4.288], [-4.397, -3.915, 0.727]], "species": ["Y", "Y", "Os", "Os", "V", "V", "V", "V"], "fractional_positions": [[0.500, 0.500, 0.000], [0.250, 0.750, 0.500], [0.000, 0.000, 0.000], [0.750, 0.250, 0.500], [0.686, 0.125, 0.250], [0.064, 0.625, 0.250], [0.375, 0.314, 0.750], [0.875, 0.936, 0.750]]}

Relative to the most stable structure, the computed energies are run A 0.0; run B 28.7, all in kJ/mol of atoms.

Run A
{"formula": "YV2Os2", "functional": "GGA-PBE", "state": "relaxed", "m_tot_mub_per_fu": 0.0, "lattice_angstrom": [[4.168, 0.000, 0.000], [0.000, 4.168, 0.000], [2.084, 2.084, 5.217]], "species": ["Y", "Os", "Os", "V", "V"], "fractional_positions": [[0.000, 0.000, 0.000], [0.378, 0.378, 0.245], [0.622, 0.622, 0.755], [0.750, 0.250, 0.500], [0.250, 0.750, 0.500]]}

Run B
{"formula": "YV2Os2", "functional": "GGA-PBE", "state": "relaxed", "m_tot_mub_per_fu": 0.0, "lattice_angstrom": [[7.588, 0.000, 0.000], [0.000, 7.588, 0.000], [0.000, 0.000, 2.883]], "species": ["Y", "Y", "Os", "Os", "Os", "Os", "V", "V", "V", "V"], "fractional_positions": [[0.000, 0.000, 0.000], [0.500, 0.500, 0.000], [0.359, 0.859, 0.000], [0.859, 0.641, 0.000], [0.641, 0.141, 0.000], [0.141, 0.359, 0.000], [0.145, 0.645, 0.500], [0.645, 0.855, 0.500], [0.855, 0.355, 0.500], [0.355, 0.145, 0.500]]}

Relative to the most stable structure, the computed energies are run A 0.0; run B 26.3, all in kJ/mol of atoms.

Run A
{"formula": "YV2Os2", "functional": "GGA-PBE", "state": "relaxed", "m_tot_mub_per_fu": 0.6, "lattice_angstrom": [[4.262, 0.000, 0.000], [0.000, 4.262, 0.000], [2.131, 2.131, 4.919]], "species": ["Y", "Os", "Os", "V", "V"], "fractional_positions": [[0.000, 0.000, 0.000], [0.750, 0.250, 0.500], [0.250, 0.750, 0.500], [0.375, 0.375, 0.250], [0.625, 0.625, 0.750]]}

Run B
{"formula": "YV2Os2", "functional": "GGA-PBE", "state": "relaxed", "m_tot_mub_per_fu": 0.0, "lattice_angstrom": [[7.577, 0.000, 0.000], [0.000, 7.577, 0.000], [0.000, 0.000, 2.842]], "species": ["Y", "Y", "Os", "Os", "Os", "Os", "V", "V", "V", "V"], "fractional_positions": [[0.000, 0.000, 0.000], [0.500, 0.500, 0.000], [0.147, 0.647, 0.500], [0.647, 0.853, 0.500], [0.853, 0.353, 0.500], [0.353, 0.147, 0.500], [0.358, 0.858, 0.000], [0.858, 0.642, 0.000], [0.642, 0.142, 0.000], [0.142, 0.358, 0.000]]}

Relative to the most stable structure, the computed energies are run A 0.0; run B 0.6, all in kJ/mol of atoms.

Run A
{"formula": "YVOs2", "functional": "GGA-PBE", "state": "relaxed", "m_tot_mub_per_fu": 0.0, "lattice_angstrom": [[-1.881, -6.864, -1.083], [6.144, -1.119, -3.581], [3.409, -4.724, 0.089]], "species": ["Y", "Y", "Os", "Os", "Os", "Os", "V", "V"], "fractional_positions": [[0.000, 0.000, 0.000], [0.750, 0.250, 0.500], [0.572, 0.125, 0.250], [0.178, 0.625, 0.250], [0.375, 0.428, 0.750], [0.875, 0.822, 0.750], [0.500, 0.500, 0.000], [0.250, 0.750, 0.500]]}

Run B
{"formula": "YVOs2", "functional": "GGA-PBE", "state": "relaxed", "m_tot_mub_per_fu": 0.0, "lattice_angstrom": [[3.099, 0.000, 0.000], [0.000, 3.099, 0.000], [0.000, 0.000, 6.983]], "species": ["Y", "Os", "Os", "V"], "fractional_positions": [[0.500, 0.500, 0.500], [0.000, 0.000, 0.795], [0.000, 0.000, 0.205], [0.500, 0.500, 0.000]]}

Run C
{"formula": "YVOs2", "functional": "GGA-PBE", "state": "relaxed", "m_tot_mub_per_fu": 0.0, "lattice_angstrom": [[0.000, 3.212, 3.212], [3.212, 0.000, 3.212], [3.212, 3.212, 0.000]], "species": ["Y", "Os", "Os", "V"], "fractional_positions": [[0.500, 0.500, 0.500], [0.250, 0.250, 0.250], [0.750, 0.750, 0.750], [0.000, 0.000, 0.000]]}

Relative to the most stable structure, the computed energies are run A 49.0; run B 0.0; run C 16.7, all in kJ/mol of atoms.

Run A
{"formula": "Y2V2Os", "functional": "GGA-PBE", "state": "relaxed", "m_tot_mub_per_fu": 0.0, "lattice_angstrom": [[-2.200, 7.682, -0.538], [-5.842, -2.029, -5.088], [-2.101, -0.421, 2.580]], "species": ["Y", "Y", "Y", "Y", "Os", "Os", "V", "V", "V", "V"], "fractional_positions": [[0.293, 0.793, 0.000], [0.793, 0.707, 0.000], [0.707, 0.207, 0.000], [0.207, 0.293, 0.000], [0.000, 0.000, 0.000], [0.500, 0.500, 0.000], [0.083, 0.583, 0.500], [0.583, 0.917, 0.500], [0.917, 0.417, 0.500], [0.417, 0.083, 0.500]]}

Run B
{"formula": "Y2V2Os", "functional": "GGA-PBE", "state": "relaxed", "m_tot_mub_per_fu": 0.0, "lattice_angstrom": [[-1.551, -1.098, -2.752], [-2.310, -1.497, 1.899], [-7.138, 6.511, -0.606]], "species": ["Y", "Y", "Os", "V", "V"], "fractional_positions": [[0.409, 0.409, 0.181], [0.591, 0.591, 0.819], [0.000, 0.000, 0.000], [0.750, 0.250, 0.500], [0.250, 0.750, 0.500]]}

Relative to the most stable structure, the computed energies are run A 53.0; run B 0.0, all in kJ/mol of atoms.

Run A
{"formula": "VZn2Os", "functional": "GGA-PBE", "state": "relaxed", "m_tot_mub_per_fu": 0.0, "lattice_angstrom": [[0.000, 3.018, 3.018], [3.018, 0.000, 3.018], [3.018, 3.018, 0.000]], "species": ["Zn", "Zn", "Os", "V"], "fractional_positions": [[0.250, 0.250, 0.250], [0.750, 0.750, 0.750], [0.500, 0.500, 0.500], [0.000, 0.000, 0.000]]}

Run B
{"formula": "VZn2Os", "functional": "GGA-PBE", "state": "relaxed", "m_tot_mub_per_fu": 0.7, "lattice_angstrom": [[-0.899, 0.272, -2.530], [-2.609, -0.408, -0.556], [-2.962, 9.202, 0.602]], "species": ["Zn", "Zn", "Os", "V"], "fractional_positions": [[0.090, 0.090, 0.731], [0.910, 0.910, 0.269], [0.500, 0.500, 0.500], [0.000, 0.000, 0.000]]}

Relative to the most stable structure, the computed energies are run A 0.0; run B 21.7, all in kJ/mol of atoms.

Run A
{"formula": "ZrV3Os", "functional": "GGA-PBE", "state": "relaxed", "m_tot_mub_per_fu": 3.3, "lattice_angstrom": [[-3.273, 0.202, 3.245], [2.539, -2.716, 2.731], [2.030, 3.723, 1.817]], "species": ["Os", "Zr", "V", "V", "V"], "fractional_positions": [[0.000, 0.000, 0.000], [0.500, 0.500, 0.500], [0.000, 0.500, 0.000], [0.000, 0.000, 0.500], [0.500, 0.000, 0.000]]}

Run B
{"formula": "ZrV3Os", "functional": "GGA-PBE", "state": "relaxed", "m_tot_mub_per_fu": 0.1, "lattice_angstrom": [[4.458, 0.000, 0.000], [0.000, 4.458, 0.000], [0.000, 0.000, 4.458]], "species": ["Os", "Zr", "V", "V", "V"], "fractional_positions": [[0.500, 0.500, 0.500], [0.000, 0.000, 0.000], [0.000, 0.500, 0.000], [0.000, 0.000, 0.500], [0.500, 0.000, 0.000]]}

Relative to the most stable structure, the computed energies are run A 0.0; run B 113.5, all in kJ/mol of atoms.

Run A
{"formula": "Zr3VOs", "functional": "GGA-PBE", "state": "relaxed", "m_tot_mub_per_fu": 2.7, "lattice_angstrom": [[-1.712, 4.323, -1.969], [-4.740, -1.417, 1.010], [0.312, 2.191, 4.539]], "species": ["Os", "Zr", "Zr", "Zr", "V"], "fractional_positions": [[0.000, 0.000, 0.000], [0.000, 0.500, 0.000], [0.000, 0.000, 0.500], [0.500, 0.000, 0.000], [0.500, 0.500, 0.500]]}

Run B
{"formula": "Zr3VOs", "functional": "GGA-PBE", "state": "relaxed", "m_tot_mub_per_fu": 0.0, "lattice_angstrom": [[-0.914, -1.106, 4.521], [-1.481, -4.299, -1.351], [4.413, -1.672, 0.483]], "species": ["Os", "Zr", "Zr", "Zr", "V"], "fractional_positions": [[0.500, 0.500, 0.500], [0.000, 0.500, 0.000], [0.000, 0.000, 0.500], [0.500, 0.000, 0.000], [0.000, 0.000, 0.000]]}

Relative to the most stable structure, the computed energies are run A 0.0; run B 27.7, all in kJ/mol of atoms.

Run A
{"formula": "Os5W4", "functional": "GGA-PBE", "state": "relaxed", "m_tot_mub_per_fu": 0.0, "lattice_angstrom": [[7.638, 0.000, 0.000], [3.819, 6.615, 0.000], [0.000, 0.000, 5.484]], "species": ["Os", "Os", "Os", "Os", "Os", "Os", "Os", "Os", "Os", "Os", "W", "W", "W", "W", "W", "W", "W", "W"], "fractional_positions": [[0.334, 0.666, 0.250], [0.000, 0.334, 0.250], [0.666, 0.000, 0.250], [0.666, 0.334, 0.750], [0.000, 0.666, 0.750], [0.334, 0.000, 0.750], [0.333, 0.333, 0.000], [0.667, 0.667, 0.500], [0.667, 0.667, 0.000], [0.333, 0.333, 0.500], [0.000, 0.000, 0.000], [0.000, 0.000, 0.500], [0.664, 0.336, 0.250], [0.000, 0.664, 0.250], [0.336, 0.000, 0.250], [0.336, 0.664, 0.750], [0.000, 0.336, 0.750], [0.664, 0.000, 0.750]]}

Run B
{"formula": "Os5W4", "functional": "GGA-PBE", "state": "relaxed", "m_tot_mub_per_fu": 0.0, "lattice_angstrom": [[-4.199, 4.199, 1.944], [4.199, -4.199, 1.944], [4.199, 4.199, -1.944]], "species": ["Os", "Os", "Os", "Os", "Os", "W", "W", "W", "W"], "fractional_positions": [[0.000, 0.000, 0.000], [0.664, 0.664, 0.329], [0.336, 0.336, 0.671], [0.664, 0.336, 0.000], [0.336, 0.664, 0.000], [0.000, 0.680, 0.680], [0.000, 0.320, 0.320], [0.680, 0.000, 0.680], [0.320, 0.000, 0.320]]}

Relative to the most stable structure, the computed energies are run A 13.2; run B 0.0, all in kJ/mol of atoms.